(1)
## Li2PrCu10 (GGA-PBE)

Data for a geometry-optimized Li2PrCu10 structure.

Geometry as POSCAR:
```
Li2PrCu10
1.0
0.000 6.042 6.204
2.401 0.000 6.204
2.401 6.042 0.000
Li Pr Cu
2 1 10
direct
0.000 0.500 0.000
0.500 0.000 0.500
0.000 0.000 0.000
0.000 0.000 0.500
0.007 0.641 0.359
0.271 0.497 0.503
0.359 0.993 0.007
0.497 0.271 0.729
0.500 0.500 0.000
0.503 0.729 0.271
0.641 0.007 0.993
0.729 0.503 0.497
0.993 0.359 0.641
```

Properties
For the formation energy from the elements, the calculation gives -40 meV per atom. As for the total DFT energy (no corrections): -3.853 eV per atom. The spin magnetization is 0.0 μB/f.u. Its space group is Fmmm (69).

***

(2)
## CaRh4 (GGA-PBE)

Data for a geometry-optimized CaRh4 structure.

Geometry as POSCAR:
```
CaRh4
1.0
-2.906 2.906 2.906
2.906 -2.906 2.906
2.906 2.906 -2.906
Ca Rh
1 4
direct
0.000 0.000 0.000
0.000 0.000 0.500
0.000 0.500 0.000
0.500 0.000 0.000
0.500 0.500 0.500
```

Properties
For the formation energy from the elements, the calculation gives 1251 meV per atom. As for the total DFT energy (no corrections): -5.031 eV per atom. For the energy above the lowest structure with this stoichiometry, the calculation gives 1259 meV/atom. The spin magnetization is 2.6 μB/f.u. Its space group is Im-3m (229).

***

(3)
## ZnNiIN2 (GGA-PBE)

Data for a geometry-optimized ZnNiIN2 structure.

Geometry as POSCAR:
```
ZnNiIN2
1.0
3.848 0.000 0.000
0.000 3.848 0.000
0.000 0.000 6.369
Zn Ni I N
1 1 1 2
direct
0.000 0.000 0.000
0.500 0.500 0.500
0.000 0.000 0.500
0.000 0.500 0.000
0.500 0.000 0.000
```

Properties
As for the total DFT energy (no corrections): -3.456 eV per atom. For the energy above the lowest structure with this stoichiometry, the calculation gives 381 meV/atom. The formation energy (no corrections) comes out at 1.595 eV per atom. The spin magnetization is 3.7 μB/f.u. Its space group is P4/mmm (123).

***

(4)
## TbSc3Rh2 (GGA-PBE)

Data for a geometry-optimized TbSc3Rh2 structure.

Geometry as POSCAR:
```
TbSc3Rh2
1.0
4.357 0.000 0.000
0.000 8.422 0.000
0.000 0.000 6.896
Tb Sc Rh
2 6 4
direct
0.000 0.077 0.000
0.000 0.923 0.500
0.000 0.334 0.629
0.000 0.666 0.129
0.500 0.188 0.345
0.500 0.421 0.969
0.500 0.579 0.469
0.500 0.812 0.845
0.000 0.352 0.234
0.000 0.648 0.734
0.500 0.158 0.733
0.500 0.842 0.233
```

Properties
For the formation energy from the elements, the calculation gives -692 meV per atom. As for the total DFT energy (no corrections): -7.080 eV per atom. The spin magnetization is 0.0 μB/f.u. Its space group is Pmc2_1 (26).

***

(5)
## I (GGA-PBE)

Data for a geometry-optimized I structure.

Geometry as POSCAR:
```
I
1.0
4.870 0.000 0.000
1.764 6.326 0.000
0.963 0.481 6.980
I
4
direct
0.091 0.408 0.178
0.323 0.178 0.592
0.677 0.822 0.408
0.909 0.592 0.822
```

Properties
As for the total DFT energy (no corrections): -1.540 eV per atom. For the energy above the lowest structure with this stoichiometry, the calculation gives 10 meV/atom. The formation energy (no corrections) comes out at 0.010 eV per atom. The spin magnetization is 0.0 μB/f.u. Its space group is P-1 (2).

***

(6)
## La6CeTh2 (GGA-PBE)

Data for a geometry-optimized La6CeTh2 structure.

Geometry as POSCAR:
```
La6CeTh2
1.0
3.632 0.000 0.000
-1.816 3.146 0.000
0.000 0.000 27.550
La Ce Th
6 1 2
direct
0.000 0.000 0.063
0.000 0.000 0.277
0.000 0.000 0.723
0.000 0.000 0.937
0.333 0.667 0.395
0.333 0.667 0.605
0.000 0.000 0.500
0.333 0.667 0.170
0.333 0.667 0.830
```

Properties
For the formation energy from the elements, the calculation gives 85 meV per atom. As for the total DFT energy (no corrections): -5.509 eV per atom. The spin magnetization is 0.8 μB/f.u. Its space group is P-6m2 (187).

***

(7)
## Tb3SmFe (GGA-PBE)

Data for a geometry-optimized Tb3SmFe structure.

Geometry as POSCAR:
```
Tb3SmFe
1.0
5.304 0.000 0.000
0.000 5.304 0.000
0.000 0.000 5.304
Tb Sm Fe
3 1 1
direct
0.000 0.000 0.500
0.000 0.500 0.000
0.500 0.000 0.000
0.500 0.500 0.500
0.000 0.000 0.000
```

Properties
For the formation energy from the elements, the calculation gives 128 meV per atom. As for the total DFT energy (no corrections): -5.287 eV per atom. The spin magnetization is 0.4 μB/f.u. Its space group is Pm-3m (221).

***

(8)
## SbHO2F (GGA-PBE)

Data for a geometry-optimized SbHO2F structure.

Geometry as POSCAR:
```
SbHO2F
1.0
-1.676 2.102 4.262
1.676 -2.102 4.262
1.676 2.102 -4.262
Sb H O F
1 1 2 1
direct
0.000 0.000 0.000
0.325 0.825 0.500
0.139 0.639 0.500
0.446 0.946 0.500
0.822 0.322 0.500
```

Properties
As for the total DFT energy (no corrections): -5.194 eV per atom. The spin magnetization is 0.0 μB/f.u. Its space group is Imm2 (44).

***

(9)
## HgTeRh2 (GGA-PBE)

Data for a geometry-optimized HgTeRh2 structure.

Geometry as POSCAR:
```
HgTeRh2
1.0
3.243 0.000 0.000
0.000 4.483 0.000
-1.617 0.000 5.134
Hg Te Rh
1 1 2
direct
0.000 0.000 0.000
0.733 0.500 0.464
0.270 0.000 0.533
0.447 0.500 0.896
```

Properties
As for the total DFT energy (no corrections): -4.502 eV per atom. For the energy above the lowest structure with this stoichiometry, the calculation gives 8 meV/atom. The formation energy (no corrections) comes out at 0.034 eV per atom. The spin magnetization is 0.0 μB/f.u. Its space group is Pm (6).